PrEuCu2 (GGA-PBE, relaxed); formation enthalpy at 0 K = -0.41 eV per formula unit; crystal system = cubic; Fermi-level density of states = 6.56 states/eV per cell; energy above the most stable polymorph in this dataset = 6 meV/atom
1.0
0.0000 3.6196 3.6196
3.6196 0.0000 3.6196
3.6196 3.6196 0.0000
Pr Eu Cu
1 1 2
Cartesian
0.0000 0.0000 0.0000
3.6196 3.6196 3.6196
1.8098 1.8098 1.8098
5.4294 5.4294 5.4294